Here is Na3CrAg after structural relaxation from the Alexandria database. Energies are from PBEsol.

It has space group Pm-3m (No. 221), with a = 5.460 Å, b = 5.460 Å, c = 5.460 Å, α = 90.00°, β = 90.00° and γ = 90.00°. The distinct sites, in fractional coordinates, are Na at (0.000, 0.000, 0.500), Cr at (0.500, 0.500, 0.500) and Ag at (0.000, 0.000, 0.000).

As for the volume: 32.56 Å³ per atom. Its formation energy is 0.81 eV per atom.